No. 1
This record from the Alexandria database describes a geometry-optimized Ba2Cu2Ru structure. The functional is PBE.

magnetization	0.45	Bohr magnetons per cell
energy	-38.31	eV per cell
energy of formation	9.97	kcal/mol of atoms
distance to the lowest polymorph of the same formula	0.0	meV/atom

Structure (CIF):
```
data_Ba2Cu2Ru
_cell_length_a 7.070
_cell_length_b 7.070
_cell_length_c 4.937
_cell_angle_alpha 90.00
_cell_angle_beta 90.00
_cell_angle_gamma 90.00
_symmetry_space_group_name_H-M 'P 4/m b m'
_symmetry_Int_Tables_number 127
_symmetry_space_group_name_Hall '-P 4 2ab'
loop_
_atom_site_label
_atom_site_fract_x
_atom_site_fract_y
_atom_site_fract_z
Ba1 0.187 0.313 0.000
Cu1 0.130 0.630 0.500
Ru1 0.000 0.000 0.500
```

=====

No. 2
This record from the Alexandria database describes a geometry-optimized Sr2CdRuC structure. The functional is PBE.

magnetization	0.00	Bohr magnetons per cell
energy	-22.66	eV per cell
energy of formation	0.56	kcal/mol of atoms
distance to the lowest polymorph of the same formula	0.0	meV/atom

Structure (CIF):
```
data_Sr2CdRuC
_cell_length_a 5.574
_cell_length_b 5.574
_cell_length_c 3.924
_cell_angle_alpha 90.00
_cell_angle_beta 90.00
_cell_angle_gamma 90.00
_symmetry_space_group_name_H-M 'P 4/m m m'
_symmetry_Int_Tables_number 123
_symmetry_space_group_name_Hall '-P 4 2'
loop_
_atom_site_label
_atom_site_fract_x
_atom_site_fract_y
_atom_site_fract_z
Sr1 0.000 0.500 0.000
Cd1 0.000 0.000 0.500
Ru1 0.500 0.500 0.500
C1 0.500 0.500 0.000
```